No. 1
First-principles (PBE) data for a relaxed Er2AlO4 crystal, as listed in OQMD via LeMat-Bulk.

The total energy is -0.28463 hartree per atom. Its total magnetization is 0.00 μB/cell.

Cell and atoms, written as CIF:
```
data_Er2AlO4
_space_group_name_H-M_alt 'P 1'
_space_group_IT_number 1
_cell_length_a 6.3219
_cell_length_b 6.3219
_cell_length_c 6.3219
_cell_angle_alpha 119.99
_cell_angle_beta 90.02
_cell_angle_gamma 119.99
loop_
_space_group_symop_operation_xyz
'x,y,z'
loop_
_atom_site_label
_atom_site_fract_x
_atom_site_fract_y
_atom_site_fract_z
Al1 0.0000 0.0000 0.0000
Al2 0.7500 0.5000 0.2500
Er1 0.3750 0.7500 0.1250
Er2 0.3750 0.7500 0.6250
Er3 0.3750 0.2500 0.6250
Er4 0.8750 0.2500 0.6250
O1 0.1164 0.2326 0.3490
O2 0.6336 0.7326 0.3662
O3 0.0990 0.7326 0.3664
O4 0.6338 0.2674 0.3664
O5 0.1163 0.2326 0.8836
O6 0.6510 0.7674 0.8836
O7 0.1164 0.7674 0.8837
O8 0.6336 0.2674 0.9010
```



No. 2
First-principles (PBE) data for a relaxed K2AlFeCl6 crystal, as listed in OQMD via LeMat-Bulk.

The total energy is -0.14089 hartree per atom. Its total magnetization is 3.22 μB/cell.

Cell and atoms, written as CIF:
```
data_K2AlFeCl6
_space_group_name_H-M_alt 'P 1'
_space_group_IT_number 1
_cell_length_a 6.8943
_cell_length_b 6.8943
_cell_length_c 6.8943
_cell_angle_alpha 60.00
_cell_angle_beta 60.00
_cell_angle_gamma 60.00
loop_
_space_group_symop_operation_xyz
'x,y,z'
loop_
_atom_site_label
_atom_site_fract_x
_atom_site_fract_y
_atom_site_fract_z
Al1 0.0000 0.0000 0.0000
Cl1 0.7570 0.2430 0.2430
Cl2 0.2430 0.7570 0.2430
Cl3 0.7570 0.7570 0.2430
Cl4 0.2430 0.2430 0.7570
Cl5 0.7570 0.2430 0.7570
Cl6 0.2430 0.7570 0.7570
Fe1 0.5000 0.5000 0.5000
K1 0.2500 0.2500 0.2500
K2 0.7500 0.7500 0.7500
```



No. 3
First-principles (PBE) data for a relaxed Ni9Pb2 crystal, as listed in OQMD via LeMat-Bulk.

The total energy is -0.17258 hartree per atom. Its total magnetization is 3.09 μB/cell. The value obtained for the energy relative to the lowest polymorph listed for this composition is 0.012 eV/atom.

Cell and atoms, written as CIF:
```
data_Ni9Pb2
_space_group_name_H-M_alt 'P 1'
_space_group_IT_number 1
_cell_length_a 2.8270
_cell_length_b 2.8270
_cell_length_c 30.2670
_cell_angle_alpha 90.00
_cell_angle_beta 90.00
_cell_angle_gamma 120.00
loop_
_space_group_symop_operation_xyz
'x,y,z'
loop_
_atom_site_label
_atom_site_fract_x
_atom_site_fract_y
_atom_site_fract_z
Ni1 0.0000 0.0000 0.0000
Ni2 0.6667 0.3333 0.0596
Ni3 0.3333 0.6667 0.1191
Ni4 0.0000 0.0000 0.1791
Ni5 0.6667 0.3333 0.2390
Ni6 0.3333 0.6667 0.7610
Ni7 0.0000 0.0000 0.8209
Ni8 0.6667 0.3333 0.8809
Ni9 0.3333 0.6667 0.9404
Pb1 0.3333 0.6667 0.3155
Pb2 0.6667 0.3333 0.6845
```



No. 4
First-principles (PBE) data for a relaxed CsTc2P2 crystal, as listed in OQMD via LeMat-Bulk.

The total energy is -0.25337 hartree per atom. Its total magnetization is 0.77 μB/cell.

Cell and atoms, written as CIF:
```
data_CsTc2P2
_space_group_name_H-M_alt 'P 1'
_space_group_IT_number 1
_cell_length_a 7.6093
_cell_length_b 7.6093
_cell_length_c 7.6093
_cell_angle_alpha 148.28
_cell_angle_beta 148.28
_cell_angle_gamma 45.47
loop_
_space_group_symop_operation_xyz
'x,y,z'
loop_
_atom_site_label
_atom_site_fract_x
_atom_site_fract_y
_atom_site_fract_z
Cs1 0.0000 0.0000 0.0000
P1 0.3266 0.3266 0.0000
P2 0.6734 0.6734 0.0000
Tc1 0.7500 0.2500 0.5000
Tc2 0.2500 0.7500 0.5000
```



No. 5
First-principles (PBE) data for a relaxed RbHgB4 crystal, as listed in OQMD via LeMat-Bulk.

The total energy is -0.14463 hartree per atom. The value obtained for the energy relative to the lowest polymorph listed for this composition is 0.000 eV/atom.

Cell and atoms, written as CIF:
```
data_RbHgB4
_space_group_name_H-M_alt 'P 1'
_space_group_IT_number 1
_cell_length_a 3.1442
_cell_length_b 3.1442
_cell_length_c 9.3328
_cell_angle_alpha 90.00
_cell_angle_beta 90.00
_cell_angle_gamma 120.00
loop_
_space_group_symop_operation_xyz
'x,y,z'
loop_
_atom_site_label
_atom_site_fract_x
_atom_site_fract_y
_atom_site_fract_z
B1 0.6667 0.3333 0.2789
B2 0.3333 0.6667 0.2789
B3 0.6667 0.3333 0.7211
B4 0.3333 0.6667 0.7211
Hg1 0.0000 0.0000 0.5000
Rb1 0.0000 0.0000 0.0000
```



No. 6
First-principles (PBE) data for a relaxed ScHg2Ir crystal, as listed in OQMD via LeMat-Bulk.

The total energy is -0.14938 hartree per atom. Its total magnetization is 0.00 μB/cell. For the formation energy, the calculation gives -0.120 eV/atom.

Cell and atoms, written as CIF:
```
data_ScHg2Ir
_space_group_name_H-M_alt 'P 1'
_space_group_IT_number 1
_cell_length_a 4.7552
_cell_length_b 4.7552
_cell_length_c 4.7552
_cell_angle_alpha 60.00
_cell_angle_beta 60.00
_cell_angle_gamma 60.00
loop_
_space_group_symop_operation_xyz
'x,y,z'
loop_
_atom_site_label
_atom_site_fract_x
_atom_site_fract_y
_atom_site_fract_z
Hg1 0.0000 0.0000 0.0000
Hg2 0.2500 0.2500 0.2500
Ir1 0.7500 0.7500 0.7500
Sc1 0.5000 0.5000 0.5000
```